P | PBE-GGA Tl3TcF, relaxed; symmetry = Pm-3m, No. 221
1.0
-3.439 2.605 -2.601
-3.623 -3.027 1.758
-0.654 3.071 3.939
Tl Tc F
3 1 1
direct
0.000 0.000 0.500
0.000 0.500 0.000
0.500 0.000 0.000
0.500 0.500 0.500
0.000 0.000 0.000

Q | PBE-GGA Tl3TcF, relaxed; symmetry = Pm-3m, No. 221
1.0
-4.270 -2.940 1.158
0.846 -2.940 -4.343
3.044 -3.307 2.831
Tl F Tc
3 1 1
direct
0.000 0.500 0.000
0.000 0.000 0.500
0.500 0.000 0.000
0.500 0.500 0.500
0.000 0.000 0.000

Structures ranked by computed energy, the most stable listed first: Q, P.

P | PBE-GGA Tl2TcF, relaxed; symmetry = I-42d, No. 122
1.0
7.046 0.000 0.000
0.000 7.046 0.000
3.523 3.523 3.373
Tl Tc F
4 2 2
direct
0.596 0.125 0.250
0.154 0.625 0.250
0.375 0.404 0.750
0.875 0.846 0.750
0.750 0.250 0.500
0.000 0.000 0.000
0.500 0.500 0.000
0.250 0.750 0.500

Q | PBE-GGA Tl2TcF, relaxed; symmetry = Fm-3m, No. 225
1.0
0.000 3.443 3.443
3.443 0.000 3.443
3.443 3.443 0.000
Tl F Tc
2 1 1
direct
0.750 0.750 0.750
0.250 0.250 0.250
0.000 0.000 0.000
0.500 0.500 0.500

Structures ranked by computed energy, the most stable listed first: P, Q.

P | PBE-GGA TlTc2F8, relaxed; symmetry = C2/m, No. 12
1.0
0.070 -2.926 -2.849
-5.473 -3.371 2.943
-6.752 1.162 -1.744
F Tc Tl
8 2 1
direct
0.079 0.762 0.762
0.572 0.053 0.633
0.782 0.589 0.589
0.572 0.633 0.053
0.428 0.947 0.367
0.428 0.367 0.947
0.218 0.411 0.411
0.921 0.238 0.238
0.436 0.274 0.274
0.564 0.726 0.726
0.000 0.000 0.000

Q | PBE-GGA TlTc2F8, relaxed; symmetry = P-1, No. 2
1.0
-4.010 1.289 0.622
-0.811 -7.287 4.385
1.438 6.885 2.087
Tl Tc F
1 2 8
direct
0.000 0.000 0.000
0.725 0.614 0.225
0.275 0.386 0.775
0.234 0.148 0.755
0.685 0.359 0.173
0.319 0.212 0.424
0.769 0.406 0.812
0.766 0.852 0.245
0.315 0.641 0.827
0.231 0.594 0.188
0.681 0.788 0.576

Structures ranked by computed energy, the most stable listed first: Q, P.